#1
Material: YHf2Ag2
Method: DFT, PBE
State: optimized geometry

Results
Calculated volume ... 220.4 Å³/cell

a b c (Å): 8.5371 8.5371 3.0240
angles (deg): 90.00 90.00 90.00
Site moments in Bohr magnetons follow the coordinates.
Fractional positions:
Hf 0.1264 0.3736 0.0000  0.06
Hf 0.3736 0.8736 0.0000  0.06
Hf 0.8736 0.6264 0.0000  0.06
Hf 0.6264 0.1264 0.0000  0.06
Y 0.0000 0.0000 0.0000  0.28
Y 0.5000 0.5000 0.0000  0.28
Ag 0.3281 0.1719 0.5000  0.01
Ag 0.8281 0.3281 0.5000  0.01
Ag 0.1719 0.6719 0.5000  0.01
Ag 0.6719 0.8281 0.5000  0.01


#2
Material: YHf2Ag2
Method: DFT, PBE
State: optimized geometry

Results
Calculated volume ... 221.6 Å³/cell

a b c (Å): 8.1962 8.1962 3.2981
angles (deg): 90.00 90.00 90.00
Fractional positions:
Y 0.0000 0.0000 0.0000
Y 0.5000 0.5000 0.0000
Ag 0.6249 0.1249 0.0000
Ag 0.3751 0.8751 0.0000
Ag 0.8751 0.6249 0.0000
Ag 0.1249 0.3751 0.0000
Hf 0.1698 0.6698 0.5000
Hf 0.8302 0.3302 0.5000
Hf 0.3302 0.1698 0.5000
Hf 0.6698 0.8302 0.5000


#2 is favored, and the nearest alternative lies 5.5 kJ/mol of atoms above it.


#1
Material: YHfAg2
Method: DFT, PBE
State: optimized geometry

Results
Calculated volume ... 87.8 Å³/cell

a b c (Å): 4.9887 4.9887 4.9887
angles (deg): 60.00 60.00 60.00
Site moments in Bohr magnetons follow the coordinates.
Fractional positions:
Hf 0.5000 0.5000 0.5000  0.33
Ag 0.7500 0.7500 0.7500  0.03
Ag 0.2500 0.2500 0.2500  0.03
Y 0.0000 0.0000 0.0000  0.13


#2
Material: YHfAg2
Method: DFT, PBE
State: optimized geometry

Results
Calculated volume ... 186.9 Å³/cell

a b c (Å): 7.9194 7.9194 6.3437
angles (deg): 51.38 51.38 90.00
Fractional positions:
Y 0.5000 0.5000 0.0000
Y 0.2500 0.7500 0.5000
Hf 0.0000 0.0000 0.0000
Hf 0.7500 0.2500 0.5000
Ag 0.6472 0.1250 0.2500
Ag 0.1028 0.6250 0.2500
Ag 0.8750 0.8972 0.7500
Ag 0.3750 0.3528 0.7500


#1 is favored, and the nearest alternative lies 34.0 kJ/mol of atoms above it.


#1
Material: YHfAg2
Method: DFT, PBE
State: optimized geometry

Results
Calculated volume ... 87.4 Å³/cell

a b c (Å): 3.4501 5.0332 5.0332
angles (deg): 90.00 90.00 90.00
Site moments in Bohr magnetons follow the coordinates.
Fractional positions:
Hf 0.5000 0.5000 0.5000  0.34
Ag 0.0000 0.5000 0.0000  0.03
Ag 0.0000 0.0000 0.5000  0.03
Y 0.5000 0.0000 0.0000  0.12


#2
Material: YHfAg2
Method: DFT, PBE
State: optimized geometry

Results
Calculated volume ... 87.8 Å³/cell

a b c (Å): 3.4979 3.4979 7.1739
angles (deg): 90.00 90.00 90.00
Site moments in Bohr magnetons follow the coordinates.
Fractional positions:
Ag 0.0000 0.0000 0.7775  0.03
Ag 0.0000 0.0000 0.2225  0.03
Hf 0.5000 0.5000 0.0000  0.34
Y 0.5000 0.5000 0.5000  0.09


#2 is favored, and the nearest alternative lies 2.8 kJ/mol of atoms above it.


#1
Material: YHf2Ag
Method: DFT, PBE
State: optimized geometry

Results
Calculated volume ... 89.0 Å³/cell

a b c (Å): 5.0121 5.0121 5.0121
angles (deg): 60.00 60.00 60.00
Fractional positions:
Ag 0.5000 0.5000 0.5000
Hf 0.7500 0.7500 0.7500
Hf 0.2500 0.2500 0.2500
Y 0.0000 0.0000 0.0000


#2
Material: YHf2Ag
Method: DFT, PBE
State: optimized geometry

Results
Calculated volume ... 198.1 Å³/cell

a b c (Å): 8.1542 8.1542 6.4902
angles (deg): 51.08 51.08 90.00
Fractional positions:
Hf 0.8750 0.9224 0.7500
Hf 0.6724 0.1250 0.2500
Hf 0.3750 0.3276 0.7500
Hf 0.0776 0.6250 0.2500
Y 0.5000 0.5000 0.0000
Y 0.2500 0.7500 0.5000
Ag 0.7500 0.2500 0.5000
Ag 0.0000 0.0000 0.0000


#1 is favored, and the nearest alternative lies 6.4 kJ/mol of atoms above it.


#1
Material: HfZn4Ag
Method: DFT, PBE
State: optimized geometry

Results
Calculated volume ... 195.7 Å³/cell

a b c (Å): 4.2936 4.2937 11.0531
angles (deg): 101.29 101.29 90.80
Fractional positions:
Zn 0.0825 0.0825 0.6660
Zn 0.4174 0.4174 0.3340
Zn 0.1564 0.6563 0.8162
Zn 0.6563 0.1563 0.8162
Zn 0.8436 0.3437 0.1838
Zn 0.3437 0.8437 0.1838
Zn 0.9175 0.9175 0.3340
Zn 0.5826 0.5826 0.6660
Ag 0.5000 0.0000 0.5000
Ag 0.0000 0.5000 0.5000
Hf 0.7500 0.7500 0.0000
Hf 0.2500 0.2500 0.0000


#2
Material: HfZn4Ag
Method: DFT, PBE
State: optimized geometry

Results
Calculated volume ... 97.5 Å³/cell

a b c (Å): 5.1659 5.1659 5.1659
angles (deg): 60.00 60.00 60.00
Fractional positions:
Zn 0.1280 0.6240 0.6240
Zn 0.6240 0.6240 0.6240
Zn 0.6240 0.6240 0.1280
Zn 0.6240 0.1280 0.6240
Hf 0.2500 0.2500 0.2500
Ag 0.0000 0.0000 0.0000


#3
Material: HfZn4Ag
Method: DFT, PBE
State: optimized geometry

Results
Calculated volume ... 201.4 Å³/cell

a b c (Å): 3.7663 6.3378 8.6452
angles (deg): 90.00 102.58 90.00
Fractional positions:
Zn 0.0000 0.5000 0.0000
Zn 0.8434 0.9585 0.6869
Zn 0.5729 0.2500 0.1458
Zn 0.1566 0.4585 0.3131
Zn 0.8434 0.5415 0.6869
Zn 0.0000 0.0000 0.0000
Zn 0.4271 0.7500 0.8542
Zn 0.1566 0.0415 0.3131
Ag 0.7380 0.2500 0.4759
Ag 0.2620 0.7500 0.5241
Hf 0.5971 0.7500 0.1942
Hf 0.4029 0.2500 0.8058


#1 is favored, and the nearest alternative lies 3.9 kJ/mol of atoms above it.


#1
Material: HfZn3Ag
Method: DFT, PBE
State: optimized geometry

Results
Calculated volume ... 178.4 Å³/cell

a b c (Å): 4.4013 5.0971 8.6298
angles (deg): 107.18 104.60 90.00
Fractional positions:
Zn 0.2185 0.9680 0.9361
Zn 0.0305 0.7782 0.5565
Zn 0.7815 0.0320 0.0639
Zn 0.9695 0.2218 0.4435
Zn 0.4468 0.6935 0.3871
Zn 0.5532 0.3065 0.6129
Hf 0.1664 0.4198 0.8396
Hf 0.8336 0.5802 0.1604
Ag 0.6222 0.8706 0.7413
Ag 0.3778 0.1294 0.2587


#2
Material: HfZn3Ag
Method: DFT, PBE
State: optimized geometry

Results
Calculated volume ... 141.0 Å³/cell

a b c (Å): 5.2052 5.2052 5.2052
angles (deg): 90.00 90.00 90.00
Site moments in Bohr magnetons follow the coordinates.
Fractional positions:
Ag 0.5000 0.5000 0.5000  0.00
Zn 0.0000 0.5000 0.0000  0.04
Zn 0.0000 0.0000 0.5000  0.01
Zn 0.5000 0.0000 0.0000  0.04
Hf 0.0000 0.0000 0.0000  0.32


#1 is favored, and the nearest alternative lies 85.2 kJ/mol of atoms above it.


#1
Material: Hf3ZnAg
Method: DFT, PBE
State: optimized geometry

Results
Calculated volume ... 130.1 Å³/cell

a b c (Å): 5.0670 5.0670 5.0670
angles (deg): 90.00 90.00 90.00
Fractional positions:
Zn 0.5000 0.5000 0.5000
Hf 0.0000 0.0000 0.5000
Hf 0.0000 0.5000 0.0000
Hf 0.5000 0.0000 0.0000
Ag 0.0000 0.0000 0.0000


#2
Material: Hf3ZnAg
Method: DFT, PBE
State: optimized geometry

Results
Calculated volume ... 117.8 Å³/cell

a b c (Å): 4.9020 4.9020 4.9020
angles (deg): 90.00 90.00 90.00
Fractional positions:
Hf 0.5000 0.0000 0.0000
Hf 0.0000 0.5000 0.0000
Hf 0.0000 0.0000 0.5000
Ag 0.5000 0.5000 0.5000
Zn 0.0000 0.0000 0.0000


#2 is favored, and the nearest alternative lies 30.0 kJ/mol of atoms above it.


#1
Material: HfZrZnAg
Method: DFT, PBE
State: optimized geometry

Results
Calculated volume ... 77.5 Å³/cell

a b c (Å): 4.7863 4.7863 4.7863
angles (deg): 60.00 60.00 60.00
Fractional positions:
Zn 0.7500 0.7500 0.7500
Zr 0.5000 0.5000 0.5000
Ag 0.2500 0.2500 0.2500
Hf 0.0000 0.0000 0.0000


#2
Material: HfZrZnAg
Method: DFT, PBE
State: optimized geometry

Results
Calculated volume ... 76.5 Å³/cell

a b c (Å): 3.1016 3.1016 7.9488
angles (deg): 90.00 90.00 90.00
Fractional positions:
Zr 0.5000 0.5000 0.8083
Ag 0.0000 0.0000 0.0767
Zn 0.0000 0.0000 0.5670
Hf 0.5000 0.5000 0.3327


#2 is favored, and the nearest alternative lies 4.5 kJ/mol of atoms above it.


#1
Material: HfZr2Ag
Method: DFT, PBE
State: optimized geometry

Results
Calculated volume ... 87.4 Å³/cell

a b c (Å): 3.1664 3.1664 10.2346
angles (deg): 81.10 81.10 60.00
Fractional positions:
Ag 0.6669 0.6669 0.9993
Hf 0.4998 0.4998 0.5005
Zr 0.0825 0.0825 0.7524
Zr 0.2507 0.2507 0.2478


#2
Material: HfZr2Ag
Method: DFT, PBE
State: optimized geometry

Results
Calculated volume ... 179.5 Å³/cell

a b c (Å): 4.1280 4.1280 10.9328
angles (deg): 79.12 79.12 90.00
Fractional positions:
Hf 0.0000 0.0000 0.0000
Hf 0.7500 0.2500 0.5000
Zr 0.3750 0.3767 0.7500
Zr 0.8750 0.8733 0.7500
Zr 0.6233 0.1250 0.2500
Zr 0.1267 0.6250 0.2500
Ag 0.5000 0.5000 0.0000
Ag 0.2500 0.7500 0.5000


#3
Material: HfZr2Ag
Method: DFT, PBE
State: optimized geometry

Results
Calculated volume ... 88.2 Å³/cell

a b c (Å): 3.0238 3.0238 11.2759
angles (deg): 82.29 82.29 60.00
Fractional positions:
Zr 0.9096 0.9096 0.2711
Zr 0.0904 0.0904 0.7289
Hf 0.0000 0.0000 0.0000
Ag 0.5000 0.5000 0.5000


#4
Material: HfZr2Ag
Method: DFT, PBE
State: optimized geometry

Results
Calculated volume ... 86.4 Å³/cell

a b c (Å): 3.1940 3.1940 8.4681
angles (deg): 90.00 90.00 90.00
Fractional positions:
Zr 0.0000 0.0000 0.2441
Zr 0.0000 0.0000 0.7559
Ag 0.5000 0.5000 0.0000
Hf 0.5000 0.5000 0.5000


#4 is favored, and the nearest alternative lies 12.7 kJ/mol of atoms above it.


#1
Material: HfZr2Ag
Method: DFT, PBE
State: optimized geometry

Results
Calculated volume ... 85.1 Å³/cell

a b c (Å): 4.4147 4.3903 4.3903
angles (deg): 90.00 90.00 90.00
Fractional positions:
Zr 0.0000 0.0000 0.5000
Zr 0.0000 0.5000 0.0000
Hf 0.5000 0.5000 0.5000
Ag 0.5000 0.0000 0.0000


#2
Material: HfZr2Ag
Method: DFT, PBE
State: optimized geometry

Results
Calculated volume ... 84.3 Å³/cell

a b c (Å): 4.9219 4.9219 4.9219
angles (deg): 60.00 60.00 60.00
Fractional positions:
Zr 0.7500 0.7500 0.7500
Zr 0.2500 0.2500 0.2500
Hf 0.5000 0.5000 0.5000
Ag 0.0000 0.0000 0.0000


#1 is favored, and the nearest alternative lies 8.2 kJ/mol of atoms above it.


#1
Material: HfZrAg
Method: DFT, PBE
State: optimized geometry

Results
Calculated volume ... 63.5 Å³/cell

a b c (Å): 3.2396 3.2396 6.4661
angles (deg): 104.51 104.51 90.00
Fractional positions:
Hf 0.3297 0.3297 0.6594
Zr 0.0002 0.0002 0.0005
Ag 0.6701 0.6701 0.3402


#2
Material: HfZrAg
Method: DFT, PBE
State: optimized geometry

Results
Calculated volume ... 63.7 Å³/cell

a b c (Å): 3.0466 4.9139 4.9139
angles (deg): 120.00 90.00 90.00
Fractional positions:
Zr 0.6544 0.6667 0.3333
Ag 0.2067 0.3333 0.6667
Hf 0.1389 0.0000 0.0000


#3
Material: HfZrAg
Method: DFT, PBE
State: optimized geometry

Results
Calculated volume ... 126.7 Å³/cell

a b c (Å): 3.1332 3.1315 13.2866
angles (deg): 76.34 89.99 90.00
Fractional positions:
Ag 0.9766 0.9662 0.0902
Ag 0.4772 0.3178 0.2382
Zr 0.4765 0.6333 0.9237
Zr 0.9774 0.6507 0.4047
Hf 0.4771 0.9784 0.5777
Hf 0.9767 0.3057 0.7506


#1 is favored, and the nearest alternative lies 7.2 kJ/mol of atoms above it.